[1]
Material: RbNaTaIr2
Method: DFT, meta-GGA SCAN
State: single point on PBEsol structure

Values from the calculation:
**Energy of formation**: 2.6614 eV/atom
**Space group**: P4/mmm (123)
**D(E_F)**: 0.9011 states/eV/atom
**ρ**: 10.75 g/cm³

Cell and atoms, written as POSCAR:
```
RbNaTaIr2
1.0
4.3531 0.0000 0.0000
0.0000 4.8909 0.0000
0.0000 0.0000 4.8909
Ta Ir Rb Na
1 2 1 1
Cartesian
2.1765 2.4455 2.4455 Ta
0.0000 0.0000 2.4455 Ir
0.0000 2.4455 0.0000 Ir
0.0000 0.0000 0.0000 Rb
2.1765 0.0000 0.0000 Na
```

[2]
Material: CaCuRe2
Method: DFT, meta-GGA SCAN
State: single point on PBEsol structure

Values from the calculation:
**Polymorph energy (0 for the lowest one)**: 0.0 kJ/mol of formula units
**Energy of formation**: 0.2700 eV/atom
**Space group**: P4mm (99)
**D(E_F)**: 0.7661 states/eV/atom
**ρ**: 11.58 g/cm³

Cell and atoms, written as POSCAR:
```
CaCuRe2
1.0
-2.7149 -1.3419 -0.5952
1.3809 -1.9098 -1.9929
1.1568 -4.6891 5.2953
Cu Re Ca
1 2 1
Cartesian
0.9216 -3.7358 4.2187 Cu
0.2215 -0.8977 1.0137 Re
-0.6595 -1.6565 -1.2595 Re
-0.0824 -3.9955 1.3819 Ca
```

[3]
Material: LiBeCo
Method: DFT, meta-GGA SCAN
State: single point on PBEsol structure

Values from the calculation:
**Energy of formation**: 0.7403 eV/atom
**Space group**: F-43m (216)
**D(E_F)**: 0.5705 states/eV/atom
**ρ**: 3.54 g/cm³

Cell and atoms, written as POSCAR:
```
LiBeCo
1.0
-1.2010 3.4507 0.4015
-2.1032 1.5281 -2.5986
-3.5587 0.6425 0.6584
Co Li Be
1 1 1
Cartesian
-1.7157 1.4053 -0.3846 Co
0.0000 0.0000 0.0000 Li
-3.4315 2.8106 -0.7693 Be
```

[4]
Material: Gd3Dy
Method: DFT, meta-GGA SCAN
State: single point on PBEsol structure

Values from the calculation:
**Energy of formation**: 0.0998 eV/atom
**Space group**: Pm-3m (221)
**D(E_F)**: 1.2938 states/eV/atom
**ρ**: 8.80 g/cm³

Cell and atoms, written as POSCAR:
```
Gd3Dy
1.0
4.9289 0.0000 0.0000
0.0000 4.9289 0.0000
0.0000 0.0000 4.9289
Gd Dy
3 1
Cartesian
2.4644 0.0000 2.4644 Gd
2.4644 2.4644 0.0000 Gd
0.0000 2.4644 2.4644 Gd
0.0000 0.0000 0.0000 Dy
```

[5]
Material: TaPb2Au
Method: DFT, meta-GGA SCAN
State: single point on PBEsol structure

Values from the calculation:
**Polymorph energy (0 for the lowest one)**: 35.8 kJ/mol of formula units
**Energy of formation**: 0.5384 eV/atom
**Space group**: I4/mmm (139)
**D(E_F)**: 0.4162 states/eV/atom
**ρ**: 15.39 g/cm³

Cell and atoms, written as POSCAR:
```
TaPb2Au
1.0
-3.2636 -0.0843 2.8368
2.7872 -0.8993 3.1799
0.7965 4.9627 -2.2333
Pb Au Ta
2 1 1
Cartesian
0.2792 2.2359 0.3876 Pb
0.0409 1.7432 3.3958 Pb
1.3936 -0.4496 1.5899 Au
-1.6318 -0.0421 1.4184 Ta
```

[6]
Material: LaZr2P
Method: DFT, meta-GGA SCAN
State: single point on PBEsol structure

Values from the calculation:
**Energy of formation**: -0.5862 eV/atom
**Space group**: Cmmm (65)
**D(E_F)**: 1.0847 states/eV/atom
**ρ**: 6.02 g/cm³

Cell and atoms, written as POSCAR:
```
LaZr2P
1.0
3.5306 0.0000 0.0000
0.0000 5.5999 0.0015
0.0000 -2.6773 4.9185
Zr P La
2 1 1
Cartesian
0.0000 -1.1346 4.0021 Zr
0.0000 4.0573 0.9179 Zr
1.7653 0.0000 0.0000 P
1.7653 1.4613 2.4600 La
```

[7]
Material: Pr3Ge13Ir4
Method: DFT, meta-GGA SCAN
State: single point on PBEsol structure

Values from the calculation:
**Energy of formation**: -0.6073 eV/atom
**Space group**: Pm-3n (223)
**D(E_F)**: 0.3442 states/eV/atom
**ρ**: 9.58 g/cm³

Cell and atoms, written as POSCAR:
```
Pr3Ge13Ir4
1.0
-3.1893 -8.3702 1.2600
6.0503 -3.1959 -5.9159
5.9195 -1.2431 6.7255
Ge Ir Pr
26 8 6
Cartesian
5.7154 -7.9967 3.2501 Ge
2.6680 -0.8401 1.1724 Ge
1.7017 -5.2582 1.8449 Ge
1.3647 -2.1822 -1.6045 Ge
3.4224 -5.6195 3.7998 Ge
4.0955 -3.5916 6.1288 Ge
1.4964 -9.3839 -3.0515 Ge
2.1381 -7.2454 -0.8143 Ge
-0.1034 -2.7099 1.3582 Ge
9.3018 -3.5989 -0.3628 Ge
4.3059 -9.3982 0.5557 Ge
3.7586 -3.4467 -3.9452 Ge
5.0102 -1.3320 3.8335 Ge
2.5473 -8.4693 2.2753 Ge
0.0000 0.0000 0.0000 Ge
3.0651 -4.8125 -1.1806 Ge
4.4746 -3.4109 1.5139 Ge
6.2333 -4.3399 -0.2057 Ge
2.8336 -6.9034 6.6273 Ge
5.3582 -7.1896 -1.7303 Ge
6.9597 -3.1070 -3.0239 Ge
7.0788 -7.5509 0.2247 Ge
4.3903 -6.4046 1.0348 Ge
-0.8975 -8.1194 -0.7107 Ge
6.6425 -5.5637 2.8839 Ge
-1.3653 -6.0216 1.8567 Ge
3.5603 -8.0089 4.5101 Ir
3.6257 -8.9853 -1.8106 Ir
8.1801 -5.4218 0.9222 Ir
0.6005 -7.3874 1.1474 Ir
2.1951 -3.2023 0.5174 Ir
5.1549 -3.8238 3.8802 Ir
5.2203 -4.8002 -2.4406 Ir
6.5854 -9.6068 1.5522 Ir
0.5678 -6.8992 4.3077 Pr
7.4648 -2.5303 2.0862 Pr
-0.0821 -4.9840 -0.8490 Pr
2.1624 -2.7141 3.6778 Pr
2.9431 -6.5820 -3.8070 Pr
4.5050 -1.9087 -1.2766 Pr
```

[8]
Material: TaSiSe2
Method: DFT, meta-GGA SCAN
State: single point on PBEsol structure

Values from the calculation:
**Space group**: P4/mmm (123)
**ΔE_f (raw)**: 0.418 eV/atom
**D(E_F)**: 0.6236 states/eV/atom
**ρ**: 9.03 g/cm³

Cell and atoms, written as POSCAR:
```
TaSiSe2
1.0
-0.3481 1.0046 2.9633
0.8311 -4.2825 1.5495
4.5254 0.9536 0.2083
Se Si Ta
2 1 1
Cartesian
2.2627 0.4768 0.1042 Se
0.4155 -2.1413 0.7747 Se
2.5042 -1.1622 2.3605 Si
-0.1741 0.5023 1.4817 Ta
```

[9]
Material: KPH2SO3
Method: DFT, meta-GGA SCAN
State: single point on PBEsol structure

Values from the calculation:
**VASP energy**: -8.41 eV per atom
**Space group**: Cm (8)
**D(E_F)**: 0.0000 states/eV/atom
**ρ**: 2.24 g/cm³

Cell and atoms, written as POSCAR:
```
KPH2SO3
1.0
-0.8370 3.5803 -2.5983
-1.1194 -2.6048 -3.4974
-5.8914 0.2878 -0.1293
O H S K P
3 2 1 1 1
Cartesian
-2.3463 0.9037 -5.4792 O
-2.7255 -0.6168 -3.5186 O
-2.6137 1.8319 -3.1626 O
-1.9612 2.4966 -2.6518 H
-2.1416 -1.4547 -3.2262 H
-5.8794 0.8290 -3.8561 S
-3.9103 0.3314 -1.0514 K
-1.9392 0.6694 -3.9956 P
```

[10]
Material: LiHfTlRe2
Method: DFT, meta-GGA SCAN
State: single point on PBEsol structure

Values from the calculation:
**Energy of formation**: 1.8176 eV/atom
**Space group**: P4/mmm (123)
**D(E_F)**: 0.9969 states/eV/atom
**ρ**: 10.00 g/cm³

Cell and atoms, written as POSCAR:
```
LiHfTlRe2
1.0
4.7946 0.0000 0.0000
0.0000 4.7946 0.0000
0.0000 0.0000 5.5075
Tl Hf Li Re
1 1 1 2
Cartesian
0.0000 0.0000 2.7537 Tl
0.0000 0.0000 0.0000 Hf
2.3973 2.3973 2.7537 Li
0.0000 2.3973 0.0000 Re
2.3973 0.0000 0.0000 Re
```

[11]
Material: CrSiP2
Method: DFT, meta-GGA SCAN
State: single point on PBEsol structure

Values from the calculation:
**Space group**: P4/mmm (123)
**ΔE_f (raw)**: 0.159 eV/atom
**D(E_F)**: 0.6426 states/eV/atom
**ρ**: 4.68 g/cm³

Cell and atoms, written as POSCAR:
```
CrSiP2
1.0
2.8274 0.0000 0.0000
0.0000 2.8274 0.0000
0.0000 0.0000 6.3044
P Cr Si
2 1 1
Cartesian
0.0000 0.0000 1.8305 P
0.0000 0.0000 4.4739 P
1.4137 1.4137 3.1522 Cr
1.4137 1.4137 0.0000 Si
```

[12]
Material: Be2InRh2
Method: DFT, meta-GGA SCAN
State: single point on PBEsol structure

Values from the calculation:
**Polymorph energy (0 for the lowest one)**: 0.0 kJ/mol of formula units
**Energy of formation**: -0.5901 eV/atom
**Space group**: P4/mbm (127)
**D(E_F)**: 0.4311 states/eV/atom
**ρ**: 9.24 g/cm³

Cell and atoms, written as POSCAR:
```
Be2InRh2
1.0
2.8661 0.0000 0.0000
0.0000 6.5183 0.0000
0.0000 0.0000 6.5183
Be In Rh
4 2 4
Cartesian
0.0000 5.7377 4.0397 Be
0.0000 2.4786 5.7377 Be
0.0000 4.0397 0.7806 Be
0.0000 0.7806 2.4786 Be
0.0000 3.2591 3.2591 In
0.0000 0.0000 0.0000 In
1.4330 1.0890 4.3482 Rh
1.4330 2.1701 1.0890 Rh
1.4330 4.3482 5.4293 Rh
1.4330 5.4293 2.1701 Rh
```